Dy3Ho3Tm5: optimized geometry, PBE-GGA.

Cell: 5.512 9.670 9.670 Å, 120.00 90.00 90.00°
Element x y z (fractional)
Dy 0.000 0.480 0.480
Dy 0.000 0.520 0.000
Dy 0.000 0.000 0.520
Ho 0.500 0.653 0.653
Ho 0.500 0.000 0.347
Ho 0.500 0.347 0.000
Tm 0.500 0.333 0.667
Tm 0.500 0.667 0.333
Tm 0.500 0.307 0.307
Tm 0.500 0.000 0.693
Tm 0.500 0.693 0.000

Output
energy of formation from the pure elements = 0.83 eV/atom
total magnetization = 0.0 μB per formula unit